HgP2S2: optimized geometry, PBE.

Final energy: -16.31 eV per formula unit
Formation energy (no corrections): 613 meV per atom
Total magnetization: 0.000 μB/atom

a = 4.476 Å, b = 4.476 Å, c = 4.825 Å
α = 90.00°, β = 90.00°, γ = 90.00°
Fractional coordinates of all 5 atoms:
P (0.000, 0.000, 0.000)
P (0.000, 0.000, 0.500)
S (0.000, 0.500, 0.000)
S (0.500, 0.000, 0.000)
Hg (0.500, 0.500, 0.500)